No. 1
Entry from Alexandria: a geometry-optimized SnSeNF2 structure (PBE).

Cell: 4.175 4.175 4.266 Å, 90.00 90.00 90.00°
Space group P4/mmm (No. 123)
Inequivalent atoms, fractional coordinates:
Sn 0.000 0.000 0.000 [1 per cell]
Se 0.500 0.500 0.500 [1 per cell]
N 0.000 0.000 0.500 [1 per cell]
F 0.000 0.500 0.000 [2 per cell]

## Properties
ΔE to the lowest computed polymorph = 0.00 eV per formula unit
E = -21.22 eV/cell
ΔE_f (raw) = -0.334 eV/atom
Calculated volume = 74.38 Å³/cell


No. 2
Entry from Alexandria: a geometry-optimized SnSeNF2 structure (PBE).

Cell: 4.682 4.682 3.730 Å, 90.00 90.00 90.00°
Space group P4/mmm (No. 123)
Inequivalent atoms, fractional coordinates:
Sn 0.000 0.000 0.000 [1 per cell]
Se 0.500 0.500 0.500 [1 per cell]
N 0.500 0.500 0.000 [1 per cell]
F 0.000 0.500 0.500 [2 per cell]

## Properties
ΔE to the lowest computed polymorph = 0.69 eV per formula unit
E = -20.53 eV/cell
ΔE_f (raw) = -0.195 eV/atom
Calculated volume = 81.75 Å³/cell


No. 3
Entry from Alexandria: a geometry-optimized TaSeNF2 structure (PBE).

Cell: 4.684 4.684 3.583 Å, 90.00 90.00 90.00°
Space group P4/mmm (No. 123)
Inequivalent atoms, fractional coordinates:
Ta 0.000 0.000 0.000 [1 per cell]
Se 0.500 0.500 0.500 [1 per cell]
N 0.500 0.500 0.000 [1 per cell]
F 0.000 0.500 0.500 [2 per cell]

## Properties
ΔE to the lowest computed polymorph = 8.77 eV per formula unit
E = -23.43 eV/cell
ΔE_f (raw) = 0.794 eV/atom
Calculated volume = 78.61 Å³/cell